1.
Crystalline HfTlAgO3 at its relaxed geometry, computed with GGA-PBE.

Calculated values
Total moment in μB/atom: 0.00
Crystal system: orthorhombic
E_tot in eV per cell: -164.957

```
data_HfTlAgO3
_cell_length_a 13.637
_cell_length_b 3.250
_cell_length_c 9.080
_cell_angle_alpha 90.00
_cell_angle_beta 90.00
_cell_angle_gamma 90.00
_space_group_name_H-M_alt 'P n m a'
_space_group_IT_number 62
loop_
_space_group_symop_operation_xyz
'x,y,z'
'-x,-y,-z'
'-x+1/2,-y,z+1/2'
'x+1/2,y,-z+1/2'
'x+1/2,-y+1/2,-z+1/2'
'-x+1/2,y+1/2,z+1/2'
'-x,y+1/2,-z'
'x,-y+1/2,z'
loop_
_atom_site_label
_atom_site_type_symbol
_atom_site_fract_x
_atom_site_fract_y
_atom_site_fract_z
_atom_site_occupancy
Hf1 Hf 0.020 0.250 0.159 1
Tl1 Tl 0.237 0.250 0.891 1
Ag1 Ag 0.088 0.250 0.527 1
O1 O 0.061 0.250 0.753 1
O2 O 0.075 0.750 0.037 1
O3 O 0.128 0.250 0.304 1
```

---

2.
Crystalline HfAgOs at its relaxed geometry, computed with GGA-PBE.

Calculated values
Total moment in μB/atom: 0.00
Crystal system: cubic
Formation enthalpy at 0 K in eV/atom: 0.61
E above lowest polymorph in kcal/mol of atoms: 3.02

```
data_HfAgOs
_cell_length_a 6.271
_cell_length_b 6.271
_cell_length_c 6.271
_cell_angle_alpha 90.00
_cell_angle_beta 90.00
_cell_angle_gamma 90.00
_space_group_name_H-M_alt 'F -4 3 m'
_space_group_IT_number 216
_space_group_name_Hall 'F -4 2 3'
loop_
_atom_site_label
_atom_site_type_symbol
_atom_site_fract_x
_atom_site_fract_y
_atom_site_fract_z
_atom_site_occupancy
Hf1 Hf 0.000 0.000 0.000 1
Ag1 Ag 0.250 0.250 0.750 1
Os1 Os 0.250 0.250 0.250 1
```

---

3.
Crystalline HfAgOs at its relaxed geometry, computed with GGA-PBE.

Calculated values
Total moment in μB/atom: 0.07
Crystal system: cubic
Formation enthalpy at 0 K in eV/atom: 0.48
E above lowest polymorph in kcal/mol of atoms: 0.00

```
data_HfAgOs
_cell_length_a 6.291
_cell_length_b 6.291
_cell_length_c 6.291
_cell_angle_alpha 90.00
_cell_angle_beta 90.00
_cell_angle_gamma 90.00
_space_group_name_H-M_alt 'F -4 3 m'
_space_group_IT_number 216
_space_group_name_Hall 'F -4 2 3'
loop_
_atom_site_label
_atom_site_type_symbol
_atom_site_fract_x
_atom_site_fract_y
_atom_site_fract_z
_atom_site_occupancy
Hf1 Hf 0.000 0.000 0.000 1
Ag1 Ag 0.000 0.000 0.500 1
Os1 Os 0.250 0.250 0.750 1
```

---

4.
Crystalline Hf2AgOs at its relaxed geometry, computed with GGA-PBE.

Calculated values
Total moment in μB/atom: 0.00
Crystal system: cubic
Formation enthalpy at 0 K in eV/atom: 0.09

```
data_Hf2AgOs
_cell_length_a 6.579
_cell_length_b 6.579
_cell_length_c 6.579
_cell_angle_alpha 90.00
_cell_angle_beta 90.00
_cell_angle_gamma 90.00
_space_group_name_H-M_alt 'F -4 3 m'
_space_group_IT_number 216
_space_group_name_Hall 'F -4 2 3'
loop_
_atom_site_label
_atom_site_type_symbol
_atom_site_fract_x
_atom_site_fract_y
_atom_site_fract_z
_atom_site_occupancy
Hf1 Hf 0.000 0.000 0.000 1
Hf2 Hf 0.250 0.250 0.250 1
Ag1 Ag 0.250 0.250 0.750 1
Os1 Os 0.000 0.000 0.500 1
```

---

5.
Crystalline HfAg2Os at its relaxed geometry, computed with GGA-PBE.

Calculated values
Total moment in μB/atom: 0.00
Crystal system: cubic
Formation enthalpy at 0 K in eV/atom: 0.16

```
data_HfAg2Os
_cell_length_a 6.529
_cell_length_b 6.529
_cell_length_c 6.529
_cell_angle_alpha 90.00
_cell_angle_beta 90.00
_cell_angle_gamma 90.00
_space_group_name_H-M_alt 'F -4 3 m'
_space_group_IT_number 216
_space_group_name_Hall 'F -4 2 3'
loop_
_atom_site_label
_atom_site_type_symbol
_atom_site_fract_x
_atom_site_fract_y
_atom_site_fract_z
_atom_site_occupancy
Hf1 Hf 0.000 0.000 0.000 1
Ag1 Ag 0.000 0.000 0.500 1
Ag2 Ag 0.250 0.250 0.250 1
Os1 Os 0.250 0.250 0.750 1
```

---

6.
Crystalline Hf3AgP5 at its relaxed geometry, computed with GGA-PBE.

Calculated values
Total moment in μB/atom: 0.00
Crystal system: hexagonal
E_tot in eV per cell: -62.656

```
data_Hf3AgP5
_cell_length_a 6.1555
_cell_length_b 6.1555
_cell_length_c 5.7600
_cell_angle_alpha 90.00
_cell_angle_beta 90.00
_cell_angle_gamma 120.00
_space_group_name_H-M_alt 'P 6/m m m'
_space_group_IT_number 191
_space_group_name_Hall '-P 6 2'
loop_
_atom_site_label
_atom_site_type_symbol
_atom_site_fract_x
_atom_site_fract_y
_atom_site_fract_z
_atom_site_occupancy
Hf1 Hf 0.0000 0.5000 0.0000 1
Ag1 Ag 0.0000 0.0000 0.5000 1
P1 P 0.0000 0.0000 0.0000 1
P2 P 0.3333 0.6667 0.3158 1
```

---

7.
Crystalline HfAg2P2 at its relaxed geometry, computed with GGA-PBE.

Calculated values
Total moment in μB/atom: 0.00
Crystal system: trigonal
E_tot in eV per cell: -28.269

```
data_HfAg2P2
_cell_length_a 4.0063
_cell_length_b 4.0063
_cell_length_c 6.6483
_cell_angle_alpha 90.00
_cell_angle_beta 90.00
_cell_angle_gamma 120.00
_space_group_name_H-M_alt 'P -3 m 1'
_space_group_IT_number 164
_space_group_name_Hall '-P 3 2"'
loop_
_atom_site_label
_atom_site_type_symbol
_atom_site_fract_x
_atom_site_fract_y
_atom_site_fract_z
_atom_site_occupancy
Hf1 Hf 0.0000 0.0000 0.0000 1
Ag1 Ag 0.3333 0.6667 0.6298 1
P1 P 0.3333 0.6667 0.2086 1
```

---

8.
Crystalline HfPaAg at its relaxed geometry, computed with GGA-PBE.

Calculated values
Total moment in μB/atom: 0.64
Crystal system: cubic
Formation enthalpy at 0 K in eV/atom: 1.13
E above lowest polymorph in kcal/mol of atoms: 8.72

```
data_HfPaAg
_cell_length_a 6.812
_cell_length_b 6.812
_cell_length_c 6.812
_cell_angle_alpha 90.00
_cell_angle_beta 90.00
_cell_angle_gamma 90.00
_space_group_name_H-M_alt 'F -4 3 m'
_space_group_IT_number 216
_space_group_name_Hall 'F -4 2 3'
loop_
_atom_site_label
_atom_site_type_symbol
_atom_site_fract_x
_atom_site_fract_y
_atom_site_fract_z
_atom_site_occupancy
Hf1 Hf 0.000 0.000 0.000 1
Pa1 Pa 0.250 0.250 0.750 1
Ag1 Ag 0.000 0.000 0.500 1
```